Entry from Alexandria via LeMat-Bulk: a relaxed structure of PuGaSe2 (PBE).

a = 4.1947 Å, b = 4.1947 Å, c = 7.7100 Å
α = 74.21°, β = 74.21°, γ = 60.00°
Element x y z (fractional)
Pu  0.6670  0.6670  0.9989
Ga  0.4944  0.4944  0.5169
Se  0.2633  0.2633  0.2102
Se  0.0754  0.0754  0.7739

## Properties
Raw formation energy ... -0.958 eV/atom
Space group ... R3m (160)



Entry from Alexandria via LeMat-Bulk: a relaxed structure of Pu3Tl3GaSe8 (PBE).

a = 8.2894 Å, b = 8.2909 Å, c = 9.1357 Å
α = 117.01°, β = 90.00°, γ = 120.00°
Element x y z (fractional)
Se  0.7345  0.4690  0.7035
Se  0.2224  0.4448  0.6914
Se  0.2527  0.0307  0.3088
Se  0.2655  0.5310  0.2965
Se  0.7780  0.0307  0.3088
Se  0.7473  0.9693  0.6912
Se  0.7776  0.5552  0.3086
Se  0.2220  0.9693  0.6912
Pu  0.5000  0.0000  0.5000
Pu  0.0000  0.5000  0.5000
Pu  0.5000  0.5000  0.5000
Ga  0.0000  0.0000  0.5000
Tl  0.5000  0.5000  0.0000
Tl  0.0000  0.5000  0.0000
Tl  0.0000  0.0000  0.0000

## Properties
Raw formation energy ... -0.933 eV/atom
Space group ... R-3m (166)



Entry from Alexandria via LeMat-Bulk: a relaxed structure of PuTl2GaSe4 (PBE).

a = 8.5935 Å, b = 8.5941 Å, c = 8.6746 Å
α = 120.32°, β = 120.31°, γ = 90.52°
Element x y z (fractional)
Tl  0.5000  0.0000  0.5000
Tl  0.5000  0.5000  0.0000
Tl  0.5000  0.0000  0.0000
Tl  0.0000  0.0000  0.5000
Pu  0.0000  0.5000  0.5000
Pu  0.0000  0.5000  0.0000
Se  0.2367  0.2633  0.0402
Se  0.7572  0.2978  0.5275
Se  0.7633  0.7367  0.9597
Se  0.7978  0.2572  0.0275
Se  0.2428  0.7022  0.4725
Se  0.2367  0.2633  0.4598
Se  0.7633  0.7367  0.5403
Se  0.2022  0.7428  0.9725
Ga  0.0000  0.0000  0.0000
Ga  0.5000  0.5000  0.5000

## Properties
Raw formation energy ... -0.686 eV/atom
Space group ... Imma (74)



Entry from Alexandria via LeMat-Bulk: a relaxed structure of PuGaSi2 (PBE).

a = 3.4618 Å, b = 3.4618 Å, c = 6.1313 Å
α = 90.00°, β = 90.00°, γ = 90.00°
Element x y z (fractional)
Si  0.0000  0.0000  0.1978
Si  0.0000  0.0000  0.8022
Pu  0.5000  0.5000  0.5000
Ga  0.5000  0.5000  0.0000

## Properties
Raw formation energy ... -0.157 eV/atom
Energy above the most stable polymorph in this dataset ... 0.177 eV per atom
Space group ... P4/mmm (123)



Entry from Alexandria via LeMat-Bulk: a relaxed structure of Pu6GaSi2 (PBE).

a = 3.0964 Å, b = 8.6048 Å, c = 8.6048 Å
α = 120.00°, β = 90.00°, γ = 90.00°
Element x y z (fractional)
Pu  0.5000  0.6635  0.6635
Pu  0.5000  0.0000  0.3365
Pu  0.5000  0.6635  0.0000
Pu  0.5000  0.0000  0.6635
Pu  0.5000  0.3365  0.3365
Pu  0.5000  0.3365  0.0000
Si  0.0000  0.6667  0.3333
Si  0.0000  0.3333  0.6667
Ga  0.0000  0.0000  0.0000

## Properties
Raw formation energy ... -0.031 eV/atom
Space group ... P6/mmm (191)



Entry from Alexandria via LeMat-Bulk: a relaxed structure of PuGaSi2 (PBE).

a = 4.2781 Å, b = 4.2781 Å, c = 5.3319 Å
α = 66.35°, β = 66.35°, γ = 60.00°
Element x y z (fractional)
Pu  0.5000  0.5000  0.5000
Si  0.2859  0.2859  0.1423
Si  0.7141  0.7141  0.8577
Ga  0.0000  0.0000  0.0000

## Properties
Raw formation energy ... -0.153 eV/atom
Energy above the most stable polymorph in this dataset ... 0.181 eV per atom
Space group ... R-3m (166)



Entry from Alexandria via LeMat-Bulk: a relaxed structure of Pu2GaSi3 (PBE).

a = 3.9577 Å, b = 4.0891 Å, c = 7.7089 Å
α = 105.38°, β = 104.87°, γ = 90.00°
Element x y z (fractional)
Si  0.5437  0.5437  0.0874
Si  0.2920  0.7920  0.5841
Si  0.7062  0.7062  0.4125
Ga  0.4594  0.9594  0.9188
Pu  0.1308  0.1308  0.2617
Pu  0.8678  0.3678  0.7356

## Properties
Raw formation energy ... -0.444 eV/atom
Space group ... Imm2 (44)



Entry from Alexandria via LeMat-Bulk: a relaxed structure of Pu3Ga2Si (PBE).

a = 3.8608 Å, b = 3.8608 Å, c = 8.5876 Å
α = 90.00°, β = 90.00°, γ = 90.00°
Element x y z (fractional)
Pu  0.0000  0.0000  0.3414
Pu  0.0000  0.0000  0.0000
Pu  0.0000  0.0000  0.6586
Ga  0.5000  0.5000  0.1738
Ga  0.5000  0.5000  0.8262
Si  0.5000  0.5000  0.5000

## Properties
Raw formation energy ... -0.316 eV/atom
Space group ... P4/mmm (123)



no.,DFT total energy (Ry/atom)
1,-0.5174
2,-0.4655
3,-0.3814
4,-0.5298
5,-0.8178
6,-0.5295
7,-0.6201
8,-0.6905